1.
PmMg3Rh2 | PBE | relaxed

abc: 4.0810 8.6347 8.6936
angles: 122.30 90.00 103.67
Fractional coordinates of all 12 atoms:
Pm 0.8672 0.7345 0.9124
Pm 0.1328 0.2655 0.0876
Mg 0.3200 0.6401 0.5399
Mg 0.9625 0.9250 0.6209
Mg 0.6313 0.2627 0.7628
Mg 0.3687 0.7373 0.2372
Mg 0.0375 0.0750 0.3791
Mg 0.6800 0.3599 0.4601
Rh 0.4961 0.9922 0.8449
Rh 0.5039 0.0078 0.1551
Rh 0.7849 0.5697 0.3021
Rh 0.2151 0.4303 0.6979

- space group = C2/m, No. 12
- calculated formation energy (kJ per mole of atoms) = -41.6

---

2.
PmMgRuRh | PBE | relaxed

abc: 4.6972 4.6972 4.6972
angles: 60.00 60.00 60.00
Fractional coordinates of all 4 atoms:
Ru 0.7500 0.7500 0.7500
Mg 0.0000 0.0000 0.0000
Rh 0.2500 0.2500 0.2500
Pm 0.5000 0.5000 0.5000

- space group = F-43m, No. 216
- calculated formation energy (kJ per mole of atoms) = -25.2

---

3.
PmMgSbRh | PBE | relaxed

abc: 4.9233 4.9233 4.9233
angles: 60.00 60.00 60.00
Fractional coordinates of all 4 atoms:
Sb 0.2500 0.2500 0.2500
Mg 0.0000 0.0000 0.0000
Rh 0.5000 0.5000 0.5000
Pm 0.7500 0.7500 0.7500

- uncorrected formation energy (eV per atom) = -0.473
- space group = F-43m, No. 216

---

4.
Pm2MgSi3Rh4 | PBE | relaxed

abc: 4.1494 4.1494 10.2506
angles: 90.00 90.00 90.00
Fractional coordinates of all 10 atoms:
Pm 0.5000 0.0000 0.2459
Pm 0.0000 0.5000 0.7541
Mg 0.5000 0.5000 0.5000
Si 0.0000 0.0000 0.5000
Si 0.5000 0.0000 0.8764
Si 0.0000 0.5000 0.1236
Rh 0.5000 0.5000 0.0000
Rh 0.0000 0.0000 0.0000
Rh 0.5000 0.0000 0.6423
Rh 0.0000 0.5000 0.3577

- uncorrected formation energy (eV per atom) = -0.950
- space group = P-4m2, No. 115

---

We obtain VASP energy values of -4.471, -6.004, -4.928, -6.627 eV per atom for the records listed above, in that order.